1.
# CdBiRhF2 (PBE-GGA, relaxed)
data_CdBiRhF2
_cell_length_a 4.4020
_cell_length_b 4.4020
_cell_length_c 6.2548
_cell_angle_alpha 90.00
_cell_angle_beta 90.00
_cell_angle_gamma 90.00
_symmetry_space_group_name_H-M 'P 4/m m m'
_symmetry_Int_Tables_number 123
_symmetry_space_group_name_Hall '-P 4 2'
loop_
_atom_site_label
_atom_site_type_symbol
_atom_site_fract_x
_atom_site_fract_y
_atom_site_fract_z
_atom_site_occupancy
Cd1 Cd 0.0000 0.0000 0.0000 1
Bi1 Bi 0.0000 0.0000 0.5000 1
Rh1 Rh 0.5000 0.5000 0.0000 1
F1 F 0.0000 0.5000 0.5000 1
# Spin magnetization   1.3 μB per cell
# Energy relative to the elements, uncorrected   -0.51 eV/atom

***

2.
# Li4LaAs2 (PBE-GGA, relaxed)
data_Li4LaAs2
_cell_length_a 7.9039
_cell_length_b 7.9039
_cell_length_c 4.2292
_cell_angle_alpha 90.00
_cell_angle_beta 90.00
_cell_angle_gamma 90.00
_symmetry_space_group_name_H-M 'P 42/m n m'
_symmetry_Int_Tables_number 136
_symmetry_space_group_name_Hall '-P 4n 2n'
loop_
_atom_site_label
_atom_site_type_symbol
_atom_site_fract_x
_atom_site_fract_y
_atom_site_fract_z
_atom_site_occupancy
Li1 Li 0.0946 0.3335 0.0000 1
La1 La 0.0000 0.0000 0.5000 1
As1 As 0.2136 0.7864 0.0000 1
# Formation energy from the elements   -0.846 eV per atom
# Spin magnetization   0.1 μB per cell

***

3.
# Tb19Nd4Th6 (PBE-GGA, relaxed)
data_Tb19Nd4Th6
_cell_length_a 12.5314
_cell_length_b 12.5314
_cell_length_c 12.5314
_cell_angle_alpha 90.00
_cell_angle_beta 90.00
_cell_angle_gamma 90.00
_symmetry_space_group_name_H-M 'I 2 3'
_symmetry_Int_Tables_number 197
_symmetry_space_group_name_Hall 'I 2 2 3'
loop_
_atom_site_label
_atom_site_type_symbol
_atom_site_fract_x
_atom_site_fract_y
_atom_site_fract_z
_atom_site_occupancy
Tb1 Tb 0.0000 0.0000 0.0000 1
Tb2 Tb 0.0000 0.0000 0.2652 1
Tb3 Tb 0.0643 0.2781 0.7407 1
Nd1 Nd 0.1794 0.1794 0.1794 1
Th1 Th 0.0000 0.1289 0.5000 1
# Formation energy from the elements   0.423 eV per atom
# Spin magnetization   0.0 μB per cell

***

4.
# Ce2YTm3Te6 (PBE-GGA, relaxed)
data_Ce2YTm3Te6
_cell_length_a 19.1908
_cell_length_b 4.3229
_cell_length_c 8.8616
_cell_angle_alpha 90.00
_cell_angle_beta 104.85
_cell_angle_gamma 90.00
_symmetry_space_group_name_H-M 'C 1 2/m 1'
_symmetry_Int_Tables_number 12
_symmetry_space_group_name_Hall '-C 2y'
loop_
_atom_site_label
_atom_site_type_symbol
_atom_site_fract_x
_atom_site_fract_y
_atom_site_fract_z
_atom_site_occupancy
Ce1 Ce 0.1678 0.0000 0.3355 1
Y1 Y 0.0000 0.5000 0.0000 1
Tm1 Tm 0.0000 0.5000 0.5000 1
Tm2 Tm 0.1684 0.0000 0.8335 1
Te1 Te 0.0040 0.0000 0.7483 1
Te2 Te 0.1625 0.5000 0.5923 1
Te3 Te 0.1669 0.5000 0.0728 1
# Spin magnetization   5.2 μB per cell
# Energy relative to the elements, uncorrected   -1.27 eV/atom

***

5.
# SmPuIn (PBE-GGA, relaxed)
data_SmPuIn
_cell_length_a 3.6680
_cell_length_b 3.6680
_cell_length_c 12.8466
_cell_angle_alpha 90.00
_cell_angle_beta 90.00
_cell_angle_gamma 90.00
_symmetry_space_group_name_H-M 'I 4 m m'
_symmetry_Int_Tables_number 107
_symmetry_space_group_name_Hall 'I 4 -2'
loop_
_atom_site_label
_atom_site_type_symbol
_atom_site_fract_x
_atom_site_fract_y
_atom_site_fract_z
_atom_site_occupancy
Sm1 Sm 0.0000 0.0000 0.0000 1
Pu1 Pu 0.0000 0.0000 0.6842 1
In1 In 0.0000 0.0000 0.3413 1
# Formation energy from the elements   -0.105 eV per atom
# Relative energy among the computed polymorphs   0.0 meV per atom
# Spin magnetization   12.9 μB per cell

***

6.
# Pm2Pr6Tl (PBE-GGA, relaxed)
data_Pm2Pr6Tl
_cell_length_a 17.4722
_cell_length_b 9.9944
_cell_length_c 3.5003
_cell_angle_alpha 90.00
_cell_angle_beta 90.17
_cell_angle_gamma 90.00
_symmetry_space_group_name_H-M 'C 1 2/m 1'
_symmetry_Int_Tables_number 12
_symmetry_space_group_name_Hall '-C 2y'
loop_
_atom_site_label
_atom_site_type_symbol
_atom_site_fract_x
_atom_site_fract_y
_atom_site_fract_z
_atom_site_occupancy
Pm1 Pm 0.1666 0.0000 0.4994 1
Pr1 Pr 0.0000 0.1775 0.0000 1
Pr2 Pr 0.1635 0.3350 0.9952 1
Tl1 Tl 0.0000 0.5000 0.5000 1
# Formation energy from the elements   0.016 eV per atom
# Relative energy among the computed polymorphs   0.0 meV per atom
# Spin magnetization   0.0 μB per cell

***

7.
# AsH6F12 (PBE-GGA, relaxed)
data_AsH6F12
_cell_length_a 7.8431
_cell_length_b 7.8431
_cell_length_c 14.9208
_cell_angle_alpha 90.00
_cell_angle_beta 90.00
_cell_angle_gamma 120.00
_symmetry_space_group_name_H-M 'R -3'
_symmetry_Int_Tables_number 148
_symmetry_space_group_name_Hall '-R 3'
loop_
_atom_site_label
_atom_site_type_symbol
_atom_site_fract_x
_atom_site_fract_y
_atom_site_fract_z
_atom_site_occupancy
As1 As 0.0000 0.0000 0.0000 1
H1 H 0.0734 0.9028 0.5904 1
F1 F 0.0204 0.1936 0.9314 1
F2 F 0.0583 0.2102 0.4112 1
# Relative energy among the computed polymorphs   0.0 meV per atom
# Spin magnetization   3.8 μB per cell

***

8.
# VFe (PBE-GGA, relaxed)
data_VFe
_cell_length_a 5.5915
_cell_length_b 6.0839
_cell_length_c 2.7618
_cell_angle_alpha 90.00
_cell_angle_beta 90.00
_cell_angle_gamma 90.00
_symmetry_space_group_name_H-M 'C m m m'
_symmetry_Int_Tables_number 65
_symmetry_space_group_name_Hall '-C 2 2'
loop_
_atom_site_label
_atom_site_type_symbol
_atom_site_fract_x
_atom_site_fract_y
_atom_site_fract_z
_atom_site_occupancy
V1 V 0.2374 0.0000 0.0000 1
Fe1 Fe 0.0000 0.2711 0.5000 1
# Formation energy from the elements   -0.085 eV per atom
# Spin magnetization   1.4 μB per cell